No. 1
Crystalline MgCo2IrO6 at its relaxed geometry, computed with PBE with a Hubbard U.

Results
- space group = No. 146
- total energy (eV/atom) = -6.211

a b c (Å): 5.0647 5.0650 5.4642
angles (deg): 62.39 62.39 60.00
With the nearest neighbours (Å) after each atom.
Atoms (fractional coordinates):
O: 0.4175 0.7073 0.7484  2 Co 1.98-2.00, 1 Mg 2.01, 1 Ir 2.01
O: 0.9104 0.5907 0.2576  1 Co 1.94, 1 Ir 1.98, 1 Mg 2.15
O: 0.2412 0.9104 0.2576  1 Co 1.94, 1 Ir 1.98, 1 Mg 2.15
O: 0.5908 0.2412 0.2575  1 Co 1.94, 1 Ir 1.98, 1 Mg 2.15
O: 0.7074 0.1267 0.7484  2 Co 1.98-2.00, 1 Mg 2.01, 1 Ir 2.01
O: 0.1267 0.4176 0.7484  2 Co 1.98-2.00, 1 Mg 2.01, 1 Ir 2.01
Ir: 0.3178 0.3178 0.0465  6 O 1.98-2.01
Mg: 0.8148 0.8148 0.5555  6 O 2.01-2.15
Co: 0.0218 0.0218 0.9347  6 O 2.00-2.22
Co: 0.5132 0.5131 0.4606  6 O 1.94-1.98

***

No. 2
Crystalline MgCoIrO6 at its relaxed geometry, computed with PBE with a Hubbard U.

Results
- space group = No. 163
- total energy (eV/atom) = -6.050

a b c (Å): 5.0730 5.0730 8.5793
angles (deg): 90.00 90.00 120.00
With the nearest neighbours (Å) after each atom.
Atoms (fractional coordinates):
O: 0.3334 0.9791 0.6253  1 Ir 1.91, 1 Mg 2.05, 1 Co 2.05
O: 0.9791 0.3334 0.1253  1 Ir 1.91, 1 Mg 2.05, 1 Co 2.05
O: 0.3334 0.3542 0.8747  1 Ir 1.91, 1 Mg 2.05, 1 Co 2.05
O: 0.9791 0.6458 0.3747  1 Ir 1.91, 1 Mg 2.05, 1 Co 2.05
O: 0.6458 0.6666 0.6253  1 Ir 1.91, 1 Mg 2.05, 1 Co 2.05
O: 0.3542 0.3334 0.3747  1 Ir 1.91, 1 Mg 2.05, 1 Co 2.05
O: 0.6666 0.0209 0.3747  1 Ir 1.91, 1 Mg 2.05, 1 Co 2.05
O: 0.0209 0.3542 0.6253  1 Ir 1.91, 1 Mg 2.05, 1 Co 2.05
O: 0.3542 0.0209 0.1253  1 Ir 1.91, 1 Mg 2.05, 1 Co 2.05
O: 0.6458 0.9791 0.8747  1 Ir 1.91, 1 Mg 2.05, 1 Co 2.05
O: 0.0209 0.6666 0.8747  1 Ir 1.91, 1 Mg 2.05, 1 Co 2.05
O: 0.6666 0.6458 0.1253  1 Ir 1.91, 1 Mg 2.05, 1 Co 2.05
Mg: 0.6667 0.3333 0.7500  6 O 2.05
Mg: 0.3333 0.6667 0.2500  6 O 2.05
Ir: 0.3333 0.6667 0.7500  6 O 1.91
Ir: 0.6667 0.3333 0.2500  6 O 1.91
Co: 0.0000 0.0000 0.5000  6 O 2.05
Co: 0.0000 0.0000 0.0000  6 O 2.05